{
  "formula": "PmTmHg4",
  "functional": "PBE-GGA",
  "state": "optimized geometry",
  "cell": [[-5.1777, -2.1722, 2.0226], [-2.5885, -4.6087, -2.7710], [-0.1653, -5.3539, 2.6319]],
  "species": ["Tm", "Hg", "Hg", "Hg", "Hg", "Pm"],
  "fractional_positions": [[0.0000, 0.0000, 0.0000], [0.6250, 0.6250, 0.1250], [0.6250, 0.1250, 0.6250], [0.6250, 0.6250, 0.6250], [0.1250, 0.6250, 0.6250], [0.2500, 0.2500, 0.2500]],
  "total_magnetization_mub_per_atom": 0.000,
  "formation_enthalpy_0k_ev_per_atom": -0.20,
  "final_energy_ev_per_atom": -1.939,
  "relative_energy_mev_per_atom": 138,
  "sg": "F-43m, No. 216",
  "density_g_cm3": 12.33
}